Record 1
Compound: Rb2BiSeCl3
Source: Alexandria
Functional: GGA-PBE
Structure: relaxed

The structure in CIF format:
```
data_Rb2BiSeCl3
_space_group_name_H-M_alt 'P 1'
_space_group_IT_number 1
_cell_length_a 5.586
_cell_length_b 5.641
_cell_length_c 16.689
_cell_angle_alpha 90.00
_cell_angle_beta 90.00
_cell_angle_gamma 90.00
loop_
_space_group_symop_operation_xyz
'x,y,z'
loop_
_atom_site_label
_atom_site_type_symbol
_atom_site_fract_x
_atom_site_fract_y
_atom_site_fract_z
_atom_site_occupancy
Rb1 Rb 0.000 0.000 0.138 1
Rb2 Rb 0.000 0.000 0.862 1
Rb3 Rb 0.500 0.500 0.362 1
Rb4 Rb 0.500 0.500 0.638 1
Bi1 Bi 0.000 0.000 0.500 1
Bi2 Bi 0.500 0.500 0.000 1
Se1 Se 0.000 0.500 0.500 1
Se2 Se 0.500 0.000 0.000 1
Cl1 Cl 0.000 0.000 0.334 1
Cl2 Cl 0.000 0.000 0.666 1
Cl3 Cl 0.000 0.500 0.000 1
Cl4 Cl 0.500 0.000 0.500 1
Cl5 Cl 0.500 0.500 0.166 1
Cl6 Cl 0.500 0.500 0.834 1
```

Results
**Crystal system**: orthorhombic
**E_form (uncorrected)**: -1.296 eV/atom
**Total DFT energy (no corrections)**: -3.416 eV/atom

---

Record 2
Compound: CrCu2Hg2
Source: Alexandria
Functional: GGA-PBE
Structure: relaxed

The structure in CIF format:
```
data_CrCu2Hg2
_space_group_name_H-M_alt 'P 1'
_space_group_IT_number 1
_cell_length_a 3.423
_cell_length_b 3.423
_cell_length_c 15.514
_cell_angle_alpha 90.00
_cell_angle_beta 90.00
_cell_angle_gamma 90.00
loop_
_space_group_symop_operation_xyz
'x,y,z'
loop_
_atom_site_label
_atom_site_type_symbol
_atom_site_fract_x
_atom_site_fract_y
_atom_site_fract_z
_atom_site_occupancy
Cr1 Cr 0.000 0.000 0.000 1
Cr2 Cr 0.500 0.500 0.500 1
Cu1 Cu 0.000 0.500 0.250 1
Cu2 Cu 0.000 0.500 0.750 1
Cu3 Cu 0.500 0.000 0.250 1
Cu4 Cu 0.500 0.000 0.750 1
Hg1 Hg 0.000 0.000 0.391 1
Hg2 Hg 0.000 0.000 0.609 1
Hg3 Hg 0.500 0.500 0.109 1
Hg4 Hg 0.500 0.500 0.891 1
```

Results
**Crystal system**: tetragonal
**Formation enthalpy at 0 K**: 36.0 kJ/mol of atoms
**Total DFT energy (no corrections)**: -3.311 eV/atom

---

Record 3
Compound: Nd2Zn2Br
Source: Alexandria
Functional: GGA-PBE
Structure: relaxed

The structure in CIF format:
```
data_Nd2Zn2Br
_space_group_name_H-M_alt 'P 1'
_space_group_IT_number 1
_cell_length_a 4.384
_cell_length_b 4.384
_cell_length_c 22.430
_cell_angle_alpha 90.00
_cell_angle_beta 90.00
_cell_angle_gamma 120.00
loop_
_space_group_symop_operation_xyz
'x,y,z'
loop_
_atom_site_label
_atom_site_type_symbol
_atom_site_fract_x
_atom_site_fract_y
_atom_site_fract_z
_atom_site_occupancy
Nd1 Nd 0.000 0.000 0.084 1
Nd2 Nd 0.000 0.000 0.916 1
Nd3 Nd 0.333 0.667 0.583 1
Nd4 Nd 0.333 0.667 0.750 1
Nd5 Nd 0.667 0.333 0.250 1
Nd6 Nd 0.667 0.333 0.417 1
Zn1 Zn 0.000 0.000 0.329 1
Zn2 Zn 0.000 0.000 0.671 1
Zn3 Zn 0.333 0.667 0.338 1
Zn4 Zn 0.333 0.667 0.996 1
Zn5 Zn 0.667 0.333 0.004 1
Zn6 Zn 0.667 0.333 0.662 1
Br1 Br 0.000 0.000 0.500 1
Br2 Br 0.333 0.667 0.167 1
Br3 Br 0.667 0.333 0.833 1
```

Results
**Crystal system**: trigonal
**E_form (uncorrected)**: -0.719 eV/atom
**Total DFT energy (no corrections)**: -3.470 eV/atom

---

Record 4
Compound: NbGa4Mo
Source: Alexandria
Functional: GGA-PBE
Structure: relaxed

The structure in CIF format:
```
data_NbGa4Mo
_space_group_name_H-M_alt 'P 1'
_space_group_IT_number 1
_cell_length_a 2.720
_cell_length_b 4.512
_cell_length_c 7.757
_cell_angle_alpha 90.00
_cell_angle_beta 90.00
_cell_angle_gamma 90.00
loop_
_space_group_symop_operation_xyz
'x,y,z'
loop_
_atom_site_label
_atom_site_type_symbol
_atom_site_fract_x
_atom_site_fract_y
_atom_site_fract_z
_atom_site_occupancy
Nb1 Nb 0.000 0.000 0.000 1
Ga1 Ga 0.500 0.000 0.335 1
Ga2 Ga 0.500 0.000 0.665 1
Ga3 Ga 0.500 0.500 0.169 1
Ga4 Ga 0.500 0.500 0.831 1
Mo1 Mo 0.000 0.500 0.500 1
```

Results
**Crystal system**: orthorhombic
**Formation enthalpy at 0 K**: -2.7 kJ/mol of atoms
**Total DFT energy (no corrections)**: -5.530 eV/atom

---

Record 5
Compound: K3Zn
Source: Alexandria
Functional: GGA-PBE
Structure: relaxed

The structure in CIF format:
```
data_K3Zn
_space_group_name_H-M_alt 'P 1'
_space_group_IT_number 1
_cell_length_a 4.561
_cell_length_b 13.832
_cell_length_c 6.746
_cell_angle_alpha 90.00
_cell_angle_beta 90.00
_cell_angle_gamma 90.00
loop_
_space_group_symop_operation_xyz
'x,y,z'
loop_
_atom_site_label
_atom_site_type_symbol
_atom_site_fract_x
_atom_site_fract_y
_atom_site_fract_z
_atom_site_occupancy
K1 K 0.000 0.000 0.000 1
K2 K 0.000 0.195 0.506 1
K3 K 0.000 0.805 0.506 1
K4 K 0.500 0.305 0.006 1
K5 K 0.500 0.500 0.500 1
K6 K 0.500 0.695 0.006 1
Zn1 Zn 0.000 0.500 0.973 1
Zn2 Zn 0.500 0.000 0.473 1
```

Results
**Crystal system**: orthorhombic
**Formation enthalpy at 0 K**: 11.2 kJ/mol of atoms
**Total DFT energy (no corrections)**: -1.026 eV/atom

---

Record 6
Compound: AgGeAu2
Source: Alexandria
Functional: GGA-PBE
Structure: relaxed

The structure in CIF format:
```
data_AgGeAu2
_space_group_name_H-M_alt 'P 1'
_space_group_IT_number 1
_cell_length_a 5.212
_cell_length_b 2.996
_cell_length_c 9.490
_cell_angle_alpha 90.00
_cell_angle_beta 100.51
_cell_angle_gamma 90.00
loop_
_space_group_symop_operation_xyz
'x,y,z'
loop_
_atom_site_label
_atom_site_type_symbol
_atom_site_fract_x
_atom_site_fract_y
_atom_site_fract_z
_atom_site_occupancy
Ag1 Ag 0.000 0.000 0.000 1
Ag2 Ag 0.500 0.500 0.000 1
Ge1 Ge 0.333 0.500 0.500 1
Ge2 Ge 0.833 0.000 0.500 1
Au1 Au 0.249 0.000 0.747 1
Au2 Au 0.417 0.000 0.253 1
Au3 Au 0.749 0.500 0.747 1
Au4 Au 0.917 0.500 0.253 1
```

Results
**Crystal system**: monoclinic
**Formation enthalpy at 0 K**: 4.1 kJ/mol of atoms
**Total DFT energy (no corrections)**: -3.464 eV/atom